Entry 1:
PBE-GGA LiCaGeIr2, relaxed; DFT formation energy = 0.26 eV/atom; D(E_F) = 2.3 states/eV per cell; VASP energy = -4.991 eV/atom
1.0
4.400 0.000 0.000
0.000 4.266 0.000
0.000 0.000 4.400
Li Ir Ge Ca
1 2 1 1
Cartesian
0.000 0.000 0.000 Li
0.000 0.000 2.200 Ir
2.200 0.000 0.000 Ir
0.000 2.133 0.000 Ge
2.200 2.133 2.200 Ca

***

Entry 2:
PBE-GGA Tm3Ga3Ru, relaxed; DFT formation energy = -0.60 eV/atom; D(E_F) = 9.8 states/eV per cell; VASP energy = -5.142 eV/atom
1.0
-1.190 -0.307 -3.955
-4.982 -2.893 -0.445
-7.931 10.936 -0.630
Tm Ga Ru
6 6 2
Cartesian
-4.849 -1.386 -2.770 Tm
-3.410 1.811 -1.283 Tm
-10.694 5.924 -3.747 Tm
-9.255 9.122 -2.260 Tm
-7.131 5.673 -2.632 Tm
-6.973 2.063 -2.399 Tm
-7.134 -0.167 -4.346 Ga
-8.942 3.543 -4.090 Ga
-2.376 0.138 -3.633 Ga
-6.970 7.903 -0.684 Ga
-5.162 4.193 -0.940 Ga
-11.728 7.597 -1.397 Ga
-9.651 3.826 -1.730 Ru
-4.453 3.910 -3.301 Ru

***

Entry 3:
PBE-GGA Tm2ThRh, relaxed; DFT formation energy = -0.50 eV/atom; D(E_F) = 10.3 states/eV per cell; VASP energy = -6.433 eV/atom
1.0
3.729 -0.147 0.000
-1.621 6.053 0.000
0.000 0.000 9.496
Th Tm Rh
2 4 2
Cartesian
1.901 0.840 7.122 Th
0.207 5.067 2.374 Th
0.068 1.651 4.110 Tm
2.040 4.256 8.858 Tm
2.040 4.256 5.386 Tm
0.068 1.651 0.638 Tm
0.124 3.035 7.122 Rh
1.984 2.871 2.374 Rh

***

Entry 4:
PBE-GGA NdPuTl2, relaxed; DFT formation energy = -0.19 eV/atom; D(E_F) = 8.5 states/eV per cell; VASP energy = -6.149 eV/atom
1.0
3.452 0.000 0.000
0.000 3.452 0.000
0.000 0.000 9.460
Pu Tl Nd
1 2 1
Cartesian
1.726 1.726 0.000 Pu
0.000 0.000 7.121 Tl
0.000 0.000 2.338 Tl
1.726 1.726 4.730 Nd

***

Entry 5:
PBE-GGA CsTiNb2Cd, relaxed; DFT formation energy = 1.54 eV/atom; D(E_F) = 6.1 states/eV per cell; VASP energy = -4.417 eV/atom
1.0
4.922 0.000 0.000
0.000 6.111 0.000
0.000 0.000 4.922
Nb Ti Cs Cd
2 1 1 1
Cartesian
0.000 0.000 2.461 Nb
2.461 0.000 0.000 Nb
0.000 0.000 0.000 Ti
0.000 3.056 0.000 Cs
2.461 3.056 2.461 Cd

***

Entry 6:
PBE-GGA PaInP2, relaxed; DFT formation energy = -0.64 eV/atom; D(E_F) = 2.0 states/eV per cell; VASP energy = -6.406 eV/atom
1.0
3.627 0.000 0.000
0.000 4.599 0.000
0.000 0.000 4.599
In Pa P
1 1 2
Cartesian
1.813 2.299 2.299 In
1.813 0.000 0.000 Pa
0.000 0.000 2.299 P
0.000 2.299 0.000 P

***

Entry 7:
PBE-GGA PrErTeP, relaxed; D(E_F) = 2.9 states/eV per cell; VASP energy = -6.000 eV/atom; formation energy (no corrections) = -1526 meV per atom
1.0
4.145 -0.001 0.000
-2.072 3.590 0.000
-2.072 -1.196 7.351
Pr Te Er P
1 1 1 1
Cartesian
0.392 -0.262 4.817 Pr
2.464 0.934 2.581 Te
-1.681 3.328 0.565 Er
-1.680 0.935 6.515 P

***

Entry 8:
PBE-GGA YSe3, relaxed; D(E_F) = 1.6 states/eV per cell; VASP energy = -5.098 eV/atom; formation energy (no corrections) = -869 meV per atom
1.0
6.750 -0.041 -0.034
4.464 5.064 0.034
-5.576 -2.581 2.796
Se Y
3 1
Cartesian
2.830 1.267 0.000 Se
8.384 3.755 0.000 Se
-0.556 1.241 1.415 Se
0.587 -1.311 1.381 Y

***

Entry 9:
PBE-GGA La6Tb5Pm2, relaxed; DFT formation energy = 0.11 eV/atom; D(E_F) = 36.8 states/eV per cell; VASP energy = -4.679 eV/atom
1.0
-2.656 -0.077 -2.540
-7.537 -4.649 8.020
-5.914 19.253 5.601
La Tb Pm
12 10 4
Cartesian
-6.399 11.262 3.690 La
-12.564 13.350 12.731 La
-5.159 -0.104 5.397 La
-9.708 3.265 7.391 La
-11.587 13.557 9.044 La
-0.888 1.254 0.890 La
-6.769 9.077 6.802 La
-2.758 6.671 2.682 La
-10.693 7.933 10.939 La
-8.292 14.709 8.224 La
-4.521 0.970 2.037 La
-6.683 5.527 6.819 La
-7.426 2.513 5.028 Tb
-8.425 17.182 5.629 Tb
-9.910 7.422 7.476 Tb
-12.753 10.677 10.350 Tb
-8.681 12.015 6.053 Tb
-5.096 -2.363 2.740 Tb
-7.682 -2.654 5.451 Tb
-6.197 7.106 3.605 Tb
-3.354 3.850 0.731 Tb
-4.285 9.588 1.530 Tb
-4.210 3.967 4.281 Pm
-7.545 0.232 7.881 Pm
-5.906 14.372 5.740 Pm
-9.241 10.637 9.340 Pm

***

Entry 10:
PBE-GGA Cs2HfTlCl6, relaxed; D(E_F) = 4.7 states/eV per cell; VASP energy = -4.162 eV/atom; formation energy (no corrections) = -1652 meV per atom
1.0
8.404 0.000 0.000
4.202 7.278 0.000
4.202 2.426 12.134
Tl Cl Cs Hf
2 12 4 2
Cartesian
8.404 4.852 2.800 Tl
8.404 4.852 9.333 Tl
8.404 1.994 1.451 Cl
10.880 3.423 10.683 Cl
8.404 7.171 4.864 Cl
10.413 6.012 7.270 Cl
8.404 7.711 10.683 Cl
5.929 3.423 10.683 Cl
6.396 3.693 4.864 Cl
6.396 6.012 7.270 Cl
10.413 3.693 4.864 Cl
5.929 6.281 1.451 Cl
10.880 6.281 1.451 Cl
8.404 2.533 7.270 Cl
4.202 2.426 7.443 Cs
12.606 7.278 10.036 Cs
12.606 7.278 4.691 Cs
4.202 2.426 2.098 Cs
8.404 4.852 6.067 Hf
0.000 0.000 0.000 Hf

***

Entry 11:
PBE-GGA Zr6ZnH, relaxed; D(E_F) = 9.0 states/eV per cell; VASP energy = -7.080 eV/atom
1.0
-3.580 -1.531 -3.824
-3.027 -3.485 2.918
-3.086 3.559 2.762
Zr H Zn
6 1 1
Cartesian
-7.558 -2.223 1.524 Zr
-3.123 -1.537 -1.580 Zr
-2.134 0.765 0.333 Zr
-6.569 0.080 3.437 Zr
-5.966 -2.826 -1.133 Zr
-3.726 1.369 2.990 Zr
0.000 0.000 0.000 H
-4.846 -0.729 0.928 Zn

***

Entry 12:
PBE-GGA Th3TlBi2, relaxed; DFT formation energy = -0.39 eV/atom; D(E_F) = 6.0 states/eV per cell; VASP energy = -5.784 eV/atom
1.0
7.839 -0.025 -1.311
-4.224 6.603 -1.311
-0.016 -0.030 7.921
Th Bi Tl
6 4 2
Cartesian
4.667 3.820 4.035 Th
0.925 1.594 5.346 Th
2.876 0.560 1.264 Th
-1.150 2.671 1.268 Th
2.749 4.913 -0.046 Th
0.727 6.086 4.031 Th
5.820 1.065 2.650 Bi
1.756 3.298 2.650 Bi
-0.203 4.394 -1.311 Bi
-2.179 5.460 2.650 Bi
-4.228 6.566 6.610 Tl
3.805 2.192 -1.311 Tl

***

> What is the formula in the eighth record?

YSe3

***

> Among the records above, which one has the highest D(E_F)?

La6Tb5Pm2

***

> What is the formula in the third record?

Tm2ThRh

***

Please write out number 9 again, unchanged.
PBE-GGA La6Tb5Pm2, relaxed; DFT formation energy = 0.11 eV/atom; D(E_F) = 36.8 states/eV per cell; VASP energy = -4.679 eV/atom
1.0
-2.656 -0.077 -2.540
-7.537 -4.649 8.020
-5.914 19.253 5.601
La Tb Pm
12 10 4
Cartesian
-6.399 11.262 3.690 La
-12.564 13.350 12.731 La
-5.159 -0.104 5.397 La
-9.708 3.265 7.391 La
-11.587 13.557 9.044 La
-0.888 1.254 0.890 La
-6.769 9.077 6.802 La
-2.758 6.671 2.682 La
-10.693 7.933 10.939 La
-8.292 14.709 8.224 La
-4.521 0.970 2.037 La
-6.683 5.527 6.819 La
-7.426 2.513 5.028 Tb
-8.425 17.182 5.629 Tb
-9.910 7.422 7.476 Tb
-12.753 10.677 10.350 Tb
-8.681 12.015 6.053 Tb
-5.096 -2.363 2.740 Tb
-7.682 -2.654 5.451 Tb
-6.197 7.106 3.605 Tb
-3.354 3.850 0.731 Tb
-4.285 9.588 1.530 Tb
-4.210 3.967 4.281 Pm
-7.545 0.232 7.881 Pm
-5.906 14.372 5.740 Pm
-9.241 10.637 9.340 Pm